No. 1
Here is PmPr6Ho2Er after structural relaxation from Alexandria via LeMat-Bulk. Energies are from GGA-PBE.

Unit cell a=9.718 b=9.008 c=9.008 alpha=117.39 beta=93.78 gamma=93.78
Element x y z (fractional)
Er (0.750, 0.588, 0.412)
Er (0.250, 0.412, 0.588)
Ho (0.047, 0.298, 0.202)
Ho (0.547, 0.202, 0.298)
Ho (0.953, 0.702, 0.798)
Ho (0.453, 0.798, 0.702)
Pr (0.117, 0.706, 0.488)
Pr (0.446, 0.239, 0.885)
Pr (0.688, 0.006, 0.563)
Pr (0.383, 0.512, 0.294)
Pr (0.054, 0.115, 0.761)
Pr (0.554, 0.761, 0.115)
Pr (0.812, 0.437, 0.994)
Pr (0.188, 0.563, 0.006)
Pr (0.946, 0.885, 0.239)
Pr (0.617, 0.488, 0.706)
Pr (0.312, 0.994, 0.437)
Pr (0.883, 0.294, 0.512)
Pm (0.750, 0.028, 0.972)
Pm (0.250, 0.972, 0.028)

Summary:
- Energy of formation: 114 meV per atom
- VASP energy: -92.0 eV/cell
- Magnetic moment: 0.000 μB per formula unit

=====

No. 2
Here is PmHoErPu after structural relaxation from Alexandria via LeMat-Bulk. Energies are from GGA-PBE.

Unit cell a=5.604 b=5.604 c=5.604 alpha=60.00 beta=60.00 gamma=60.00
Each line ends with the local moment (μB).
Element x y z (fractional)
Er (0.250, 0.250, 0.250)  0.18
Pu (0.500, 0.500, 0.500)  5.53
Ho (0.750, 0.750, 0.750)  0.18
Pm (0.000, 0.000, 0.000)  0.04

Summary:
- Energy of formation: 202 meV per atom
- VASP energy: -27.4 eV/cell
- Magnetic moment: 6.395 μB per formula unit

=====

No. 3
Here is Pm3Ho6Er2Pu after structural relaxation from Alexandria via LeMat-Bulk. Energies are from GGA-PBE.

Unit cell a=6.137 b=6.137 c=11.684 alpha=95.03 beta=95.03 gamma=120.01
Each line ends with the local moment (μB).
Element x y z (fractional)
Pu (0.000, 0.000, 0.000)  5.58
Ho (0.082, 0.411, 0.245)  0.05
Ho (0.248, 0.248, 0.755)  0.06
Ho (0.918, 0.589, 0.755)  0.05
Ho (0.752, 0.752, 0.245)  0.06
Ho (0.589, 0.918, 0.755)  0.05
Ho (0.411, 0.082, 0.245)  0.05
Pm (0.167, 0.833, 0.500)  -0.02
Pm (0.833, 0.167, 0.500)  -0.02
Pm (0.500, 0.500, 0.500)  -0.03
Er (0.667, 0.333, 0.000)  0.11
Er (0.333, 0.667, 0.000)  0.11

Summary:
- Energy of formation: 43 meV per atom
- VASP energy: -64.7 eV/cell
- Magnetic moment: 6.523 μB per formula unit

=====

No. 4
Here is Pm2Ho3Er6Pu after structural relaxation from Alexandria via LeMat-Bulk. Energies are from GGA-PBE.

Unit cell a=6.112 b=6.112 c=11.637 alpha=95.04 beta=95.04 gamma=120.03
Each line ends with the local moment (μB).
Element x y z (fractional)
Ho (0.500, 0.500, 0.500)  0.04
Ho (0.833, 0.167, 0.500)  0.04
Ho (0.167, 0.833, 0.500)  0.04
Er (0.754, 0.754, 0.251)  -0.03
Er (0.588, 0.917, 0.749)  -0.04
Er (0.246, 0.246, 0.749)  -0.03
Er (0.083, 0.412, 0.251)  -0.04
Er (0.917, 0.588, 0.749)  -0.04
Er (0.412, 0.083, 0.251)  -0.04
Pm (0.333, 0.667, 0.000)  -0.04
Pm (0.667, 0.333, 0.000)  -0.04
Pu (0.000, 0.000, 0.000)  -5.57

Summary:
- Energy of formation: 47 meV per atom
- VASP energy: -64.4 eV/cell
- Magnetic moment: 6.282 μB per formula unit

=====

No. 5
Here is Pm2Ho6Er3Pu after structural relaxation from Alexandria via LeMat-Bulk. Energies are from GGA-PBE.

Unit cell a=6.149 b=6.149 c=12.911 alpha=103.72 beta=103.72 gamma=120.04
Each line ends with the local moment (μB).
Element x y z (fractional)
Er (0.167, 0.833, 0.500)  0.03
Er (0.500, 0.500, 0.500)  0.08
Er (0.833, 0.167, 0.500)  0.03
Ho (0.921, 0.250, 0.250)  -0.01
Ho (0.421, 0.421, 0.750)  -0.01
Ho (0.250, 0.921, 0.250)  -0.01
Ho (0.750, 0.079, 0.750)  -0.01
Ho (0.079, 0.750, 0.750)  -0.01
Ho (0.579, 0.579, 0.250)  -0.01
Pm (0.333, 0.667, 0.000)  -0.03
Pm (0.667, 0.333, 0.000)  -0.03
Pu (0.000, 0.000, 0.000)  -5.54

Summary:
- Energy of formation: 29 meV per atom
- VASP energy: -64.6 eV/cell
- Magnetic moment: 5.950 μB per formula unit

=====

No. 6
Here is Pm2Ho3ErS6 after structural relaxation from Alexandria via LeMat-Bulk. Energies are from GGA-PBE.

Unit cell a=3.914 b=7.912 c=8.787 alpha=103.26 beta=102.87 gamma=90.00
Element x y z (fractional)
Ho (0.831, 0.167, 0.662)
Ho (0.169, 0.833, 0.338)
Ho (0.500, 0.500, 0.000)
S (0.337, 0.409, 0.674)
S (0.665, 0.073, 0.330)
S (0.335, 0.927, 0.670)
S (0.996, 0.246, 0.993)
S (0.663, 0.591, 0.326)
S (0.004, 0.754, 0.007)
Er (0.500, 0.000, 0.000)
Pm (0.832, 0.664, 0.664)
Pm (0.168, 0.336, 0.336)

Summary:
- VASP energy: -76.4 eV/cell
- Magnetic moment: 0.000 μB per formula unit
- Formation energy without anion corrections: -1.9903 eV per atom

=====

No. 7
Here is PmHoEr4S8 after structural relaxation from Alexandria via LeMat-Bulk. Energies are from GGA-PBE.

Unit cell a=8.025 b=8.025 c=8.032 alpha=60.03 beta=60.03 gamma=60.00
Element x y z (fractional)
S (0.756, 0.229, 0.258)
S (0.756, 0.756, 0.258)
S (0.757, 0.757, 0.728)
S (0.239, 0.239, 0.284)
S (0.229, 0.756, 0.258)
S (0.240, 0.240, 0.738)
S (0.240, 0.783, 0.738)
S (0.783, 0.240, 0.738)
Ho (0.999, 0.999, 0.002)
Pm (0.375, 0.375, 0.876)
Er (0.502, 0.999, 0.499)
Er (0.999, 0.502, 0.499)
Er (0.999, 0.999, 0.499)
Er (0.625, 0.625, 0.125)

Summary:
- VASP energy: -87.5 eV/cell
- Magnetic moment: 0.000 μB per formula unit
- Formation energy without anion corrections: -1.9227 eV per atom

=====

No. 8
Here is Pm3Ho2ErS6 after structural relaxation from Alexandria via LeMat-Bulk. Energies are from GGA-PBE.

Unit cell a=6.817 b=6.817 c=6.920 alpha=99.43 beta=99.43 gamma=120.18
Element x y z (fractional)
Er (0.000, 0.000, 0.000)
Ho (0.333, 0.667, 0.000)
Ho (0.667, 0.333, 0.000)
Pm (0.833, 0.167, 0.500)
Pm (0.500, 0.500, 0.500)
Pm (0.167, 0.833, 0.500)
S (0.922, 0.590, 0.765)
S (0.410, 0.078, 0.235)
S (0.590, 0.922, 0.765)
S (0.078, 0.410, 0.235)
S (0.746, 0.746, 0.235)
S (0.254, 0.254, 0.765)

Summary:
- VASP energy: -76.8 eV/cell
- Magnetic moment: 0.000 μB per formula unit
- Formation energy without anion corrections: -2.0090 eV per atom